# 1
A plane-wave DFT calculation with GGA-PBE was carried out for an optimized crystal structure of TmHfSb.

Properties
Its energy is -6.29 eV per atom. As for the crystal system: cubic. The density comes out at 9.67 g/cm3.

Cell lengths 4.848, 4.848, 4.848 Å; angles 60.00, 60.00, 60.00 degrees
Fractional positions:
Tm 0.000 0.000 0.000
Hf 0.500 0.500 0.500
Sb 0.750 0.750 0.750



# 2
A plane-wave DFT calculation with GGA-PBE was carried out for an optimized crystal structure of HfUSb.

Properties
Its energy is -7.89 eV per atom. As for the crystal system: cubic. The density comes out at 11.38 g/cm3.

Cell lengths 4.807, 4.807, 4.807 Å; angles 60.00, 60.00, 60.00 degrees
Fractional positions:
Hf 0.000 0.000 0.000
U 0.250 0.250 0.250
Sb 0.750 0.750 0.750



# 3
A plane-wave DFT calculation with GGA-PBE was carried out for an optimized crystal structure of HfUSb.

Properties
Its energy is -7.58 eV per atom. As for the crystal system: cubic. The density comes out at 9.97 g/cm3.

Cell lengths 5.023, 5.023, 5.023 Å; angles 60.00, 60.00, 60.00 degrees
Fractional positions:
Hf 0.000 0.000 0.000
U 0.250 0.250 0.250
Sb 0.500 0.500 0.500



# 4
A plane-wave DFT calculation with GGA-PBE was carried out for an optimized crystal structure of HfSbW.

Properties
Its energy is -8.30 eV per atom. As for the crystal system: cubic. The density comes out at 11.99 g/cm3.

Cell lengths 4.560, 4.560, 4.560 Å; angles 60.00, 60.00, 60.00 degrees
Fractional positions:
Hf 0.000 0.000 0.000
Sb 0.250 0.250 0.250
W 0.500 0.500 0.500



# 5
A plane-wave DFT calculation with GGA-PBE was carried out for an optimized crystal structure of HfSb2W.

Properties
Its energy is -7.40 eV per atom. As for the crystal system: cubic. The density comes out at 12.07 g/cm3.

Cell lengths 4.903, 4.903, 4.903 Å; angles 60.00, 60.00, 60.00 degrees
Fractional positions:
Hf 0.000 0.000 0.000
Sb 0.250 0.250 0.250
Sb 0.500 0.500 0.500
W 0.750 0.750 0.750



# 6
A plane-wave DFT calculation with GGA-PBE was carried out for an optimized crystal structure of Hf2SbW.

Properties
Its energy is -9.06 eV per atom. As for the crystal system: cubic. The density comes out at 14.05 g/cm3.

Cell lengths 4.802, 4.802, 4.802 Å; angles 60.00, 60.00, 60.00 degrees
Fractional positions:
Hf 0.000 0.000 0.000
Hf 0.250 0.250 0.250
Sb 0.500 0.500 0.500
W 0.750 0.750 0.750